This record from Alexandria via LeMat-Bulk describes VZnO2 after structural relaxation. The functional is PBE with a Hubbard U.

Results
Total moment: 11.46 μB per cell
Calculated total energy: -95.4 eV per cell

Lattice parameters (Å, degrees): 4.6997 4.6997 9.4412 90.00 90.00 90.00
Closest atoms and distances in Å follow each position.
Space group I-42d (No. 122)
Symmetry-distinct sites (fractional):
V 0.0000 0.0000 0.0000 [4 per cell]  4 O 2.05
Zn 0.0000 0.0000 0.5000 [4 per cell]  4 O 2.03
O 0.2474 0.2500 0.6250 [8 per cell]  2 Zn 2.03, 2 V 2.05